Record 1
This record from Alexandria via LeMat-Bulk describes a relaxed La5Pr3Nd2 crystal. The functional is PBE-GGA.

Cell lengths 11.273, 14.906, 10.395 Å; angles 90.00, 122.83, 90.00 degrees
Space group C2/c (No. 15)
One atom of each set of equivalent atoms:
La 0.000 0.019 0.250 (multiplicity 4)
La 0.000 0.228 0.250 (multiplicity 4)
La 0.000 0.475 0.750 (multiplicity 4)
La 0.247 0.374 0.243 (multiplicity 8)
Pr 0.000 0.267 0.750 (multiplicity 4)
Pr 0.154 0.375 0.556 (multiplicity 8)
Nd 0.154 0.125 0.060 (multiplicity 8)

Properties
As for the crystal system: monoclinic. The total DFT energy (no corrections) comes out at -0.1731 hartree per atom.



Record 2
This record from Alexandria via LeMat-Bulk describes a relaxed LiCuGe2P crystal. The functional is PBE-GGA.

Cell lengths 4.771, 4.771, 4.549 Å; angles 90.00, 90.00, 90.00 degrees
Space group P4/mmm (No. 123)
One atom of each set of equivalent atoms:
Li 0.000 0.000 0.000 (multiplicity 1)
Cu 0.500 0.500 0.500 (multiplicity 1)
Ge 0.000 0.500 0.500 (multiplicity 2)
P 0.500 0.500 0.000 (multiplicity 1)

Properties
As for the crystal system: tetragonal. The total DFT energy (no corrections) comes out at -0.1375 hartree per atom.



no.,energy of formation (meV per atom)
1,140
2,389